Entry 1:
! GGA-PBE Li5Ca2MgCd2, relaxed; values from VASP
! - Total energy: -1.819 eV per atom
! - Total magnetization: 0.00 μB/f.u.
&SYSTEM
  ibrav = 0, nat = 20, ntyp = 4
/
ATOMIC_SPECIES
Li 6.94 Li.upf
Ca 40.08 Ca.upf
Mg 24.30 Mg.upf
Cd 112.41 Cd.upf
ATOMIC_POSITIONS angstrom
Li -2.085 2.270 -0.632
Li -3.985 11.228 5.855
Li 2.395 8.128 2.297
Li -5.275 6.732 3.113
Li -8.465 5.370 2.925
Li -0.796 6.766 2.109
Li -2.773 8.666 3.846
Li -3.298 4.832 1.377
Li -5.184 2.487 0.225
Li 1.746 5.445 0.634
Ca -5.717 3.280 3.527
Ca 0.450 7.851 5.200
Ca -0.313 3.211 2.241
Ca -4.954 7.919 6.486
Mg 0.000 0.000 0.000
Mg -2.633 5.565 4.363
Cd 1.529 5.570 3.411
Cd -6.796 5.561 5.315
Cd -2.114 9.132 6.653
Cd -3.153 1.999 2.073
CELL_PARAMETERS angstrom
-0.804 2.367 -3.504
-9.563 2.607 3.955
4.297 8.524 4.772

***

Entry 2:
! GGA-PBE LiCa2MgCd6, relaxed; values from VASP
! - Total energy: -1.319 eV per atom
! - Total magnetization: 0.00 μB/f.u.
&SYSTEM
  ibrav = 0, nat = 10, ntyp = 4
/
ATOMIC_SPECIES
Li 6.94 Li.upf
Ca 40.08 Ca.upf
Mg 24.30 Mg.upf
Cd 112.41 Cd.upf
ATOMIC_POSITIONS angstrom
Li 3.608 3.607 0.007
Ca 3.606 7.222 2.555
Ca 7.222 3.606 2.555
Mg 0.000 0.000 0.000
Cd 5.500 8.941 5.103
Cd 5.324 5.323 0.012
Cd 3.611 3.611 2.427
Cd 5.328 1.887 0.007
Cd 5.505 5.504 5.099
Cd 7.218 7.217 2.683
CELL_PARAMETERS angstrom
7.224 -0.009 0.007
-0.008 7.224 0.007
3.613 3.613 5.095

***

Entry 3:
! GGA-PBE Li2CaMgCd2, relaxed; values from VASP
! - Total energy: -1.752 eV per atom
! - Total magnetization: 0.00 μB/f.u.
&SYSTEM
  ibrav = 0, nat = 6, ntyp = 4
/
ATOMIC_SPECIES
Li 6.94 Li.upf
Ca 40.08 Ca.upf
Mg 24.30 Mg.upf
Cd 112.41 Cd.upf
ATOMIC_POSITIONS angstrom
Li 0.000 2.804 4.795
Li 2.428 1.402 1.983
Ca 0.000 0.000 0.000
Mg 0.000 0.000 3.389
Cd 0.000 2.804 1.951
Cd 2.428 1.402 4.827
CELL_PARAMETERS angstrom
4.856 0.000 0.000
-2.428 4.205 0.000
0.000 0.000 6.778

***

Entry 4:
! GGA-PBE Li2CaMgCd4, relaxed; values from VASP
! - Total energy: -1.593 eV per atom
! - Total magnetization: 0.00 μB/f.u.
&SYSTEM
  ibrav = 0, nat = 8, ntyp = 4
/
ATOMIC_SPECIES
Li 6.94 Li.upf
Ca 40.08 Ca.upf
Mg 24.30 Mg.upf
Cd 112.41 Cd.upf
ATOMIC_POSITIONS angstrom
Li -5.395 -7.111 5.685
Li -1.986 -2.326 2.049
Ca 0.000 0.000 0.000
Mg -3.691 -4.718 3.867
Cd -5.893 -4.196 5.678
Cd -3.057 -7.664 3.763
Cd -4.324 -1.772 3.971
Cd -1.488 -5.240 2.057
CELL_PARAMETERS angstrom
-1.855 -4.403 -0.987
1.301 -3.854 2.693
-6.827 -1.179 6.029

***

Entry 5:
! GGA-PBE Li4CaMg2Cd, relaxed; values from VASP
! - Total energy: -1.799 eV per atom
! - Total magnetization: 0.00 μB/f.u.
&SYSTEM
  ibrav = 0, nat = 8, ntyp = 4
/
ATOMIC_SPECIES
Li 6.94 Li.upf
Ca 40.08 Ca.upf
Mg 24.30 Mg.upf
Cd 112.41 Cd.upf
ATOMIC_POSITIONS angstrom
Li 0.368 -6.066 6.576
Li 2.880 -8.131 3.294
Li -0.302 -3.236 4.660
Li 2.209 -5.300 1.379
Ca 0.000 0.000 0.000
Mg 1.939 -8.523 5.949
Mg 0.638 -2.844 2.006
Cd 1.289 -5.683 3.977
CELL_PARAMETERS angstrom
-0.085 -4.933 -0.757
4.037 -2.752 1.024
-1.374 -3.682 7.688

***

Entry 6:
! GGA-PBE LiCaMg2Cd2, relaxed; values from VASP
! - Total energy: -1.687 eV per atom
! - Total magnetization: 0.00 μB/f.u.
&SYSTEM
  ibrav = 0, nat = 6, ntyp = 4
/
ATOMIC_SPECIES
Li 6.94 Li.upf
Ca 40.08 Ca.upf
Mg 24.30 Mg.upf
Cd 112.41 Cd.upf
ATOMIC_POSITIONS angstrom
Li 0.000 0.000 3.329
Ca 0.000 0.000 0.000
Mg 0.000 2.882 4.593
Mg 2.496 1.441 2.064
Cd 0.000 2.882 1.608
Cd 2.496 1.441 5.049
CELL_PARAMETERS angstrom
4.993 0.000 0.000
-2.496 4.324 0.000
0.000 0.000 6.657